DyErTmAg | PBE | optimized geometry

extended XYZ file:
```
4
Lattice="3.525 0.000 0.000 0.000 3.525 0.000 0.000 0.000 8.799" Properties=species:S:1:pos:R:3 pbc="T T T"
Dy 0.000 0.000 0.000
Er 1.762 1.762 6.280
Tm 1.762 1.762 2.509
Ag 0.000 0.000 4.371
```

Symmetry: P4mm (99)
Total energy in eV per atom: -4.259
Energy relative to the elements in eV per atom: -0.137
Energy above the lowest structure with this stoichiometry in kcal/mol of atoms: 0.00